Entry 1:
## LaPbBr2 (GGA-PBE)

Data for a geometry-optimized LaPbBr2 structure.

It has space group C2/m (No. 12), with a = 13.0257 Å, b = 3.8764 Å, c = 5.8991 Å, α = 90.00°, β = 102.22° and γ = 90.00°. The distinct sites, in fractional coordinates, are La at (0.0000, 0.0000, 0.0000), Pb at (0.0000, 0.5000, 0.5000) and Br at (0.1738, 0.5000, 0.2092).

The calculation puts the volume at 36.39 Å³ per atom. Its total energy is -4.12 eV per atom. Its energy above the most stable polymorph in this dataset is 0.0 meV/atom.



Entry 2:
## La4PbBr (GGA-PBE)

Data for a geometry-optimized La4PbBr structure.

It has space group F-43m (No. 216), with a = 9.2864 Å, b = 9.2864 Å, c = 9.2864 Å, α = 90.00°, β = 90.00° and γ = 90.00°. The distinct sites, in fractional coordinates, are La at (0.1223, 0.1223, 0.1223), Pb at (0.2500, 0.2500, 0.7500) and Br at (0.0000, 0.0000, 0.5000).

The calculation puts the volume at 33.37 Å³ per atom. Its total energy is -4.29 eV per atom.



Entry 3:
## LaPbBr2 (GGA-PBE)

Data for a geometry-optimized LaPbBr2 structure.

It has space group Pmmm (No. 47), with a = 3.9316 Å, b = 4.9573 Å, c = 6.1124 Å, α = 90.00°, β = 90.00° and γ = 90.00°. The distinct sites, in fractional coordinates, are La at (0.0000, 0.0000, 0.0000), Pb at (0.5000, 0.0000, 0.5000), Br at (0.0000, 0.5000, 0.5000) and Br at (0.5000, 0.5000, 0.0000).

The calculation puts the volume at 29.78 Å³ per atom. Its total energy is -4.01 eV per atom. Its energy above the most stable polymorph in this dataset is 108.8 meV/atom.



Entry 4:
## La2PbBr (GGA-PBE)

Data for a geometry-optimized La2PbBr structure.

It has space group R3m (No. 160, hexagonal axes), with a = 4.5319 Å, b = 4.5319 Å, c = 23.5233 Å, α = 90.00°, β = 90.00° and γ = 120.00°. The distinct sites, in fractional coordinates, are La at (0.0000, 0.0000, 0.0000), La at (0.0000, 0.0000, 0.1790), Pb at (0.0000, 0.0000, 0.5904) and Br at (0.0000, 0.0000, 0.4197).

The calculation puts the volume at 34.87 Å³ per atom. Its total energy is -4.72 eV per atom. Its energy above the most stable polymorph in this dataset is 111.0 meV/atom.



Entry 5:
## LaPbBr2 (GGA-PBE)

Data for a geometry-optimized LaPbBr2 structure.

It has space group Imm2 (No. 44), with a = 3.8535 Å, b = 5.0683 Å, c = 12.5352 Å, α = 90.00°, β = 90.00° and γ = 90.00°. The distinct sites, in fractional coordinates, are La at (0.0000, 0.0000, 0.0000), Pb at (0.0000, 0.5000, 0.7510), Br at (0.0000, 0.0000, 0.5390) and Br at (0.0000, 0.5000, 0.3094).

The calculation puts the volume at 30.60 Å³ per atom. Its total energy is -4.00 eV per atom. Its energy above the most stable polymorph in this dataset is 118.9 meV/atom.



Entry 6:
## LaPbBr2 (GGA-PBE)

Data for a geometry-optimized LaPbBr2 structure.

It has space group F-43m (No. 216), with a = 7.9528 Å, b = 7.9528 Å, c = 7.9528 Å, α = 90.00°, β = 90.00° and γ = 90.00°. The distinct sites, in fractional coordinates, are La at (0.0000, 0.0000, 0.0000), Pb at (0.2500, 0.2500, 0.7500), Br at (0.0000, 0.0000, 0.5000) and Br at (0.2500, 0.2500, 0.2500).

The calculation puts the volume at 31.44 Å³ per atom. Its total energy is -3.60 eV per atom. Its energy above the most stable polymorph in this dataset is 512.9 meV/atom.